1.
First-principles (PBE) data for an optimized crystal structure of LaPrEr3Th, as listed in the Alexandria database.

```
12
Lattice="10.730 0.000 0.000 0.000 3.594 0.000 -3.510 0.000 10.226" Properties=species:S:1:pos:R:3 pbc="T T T"
La 0.972 0.898 3.800
La 6.248 2.695 6.426
Pr -0.821 2.695 6.486
Pr 8.041 0.898 3.740
Er -2.617 0.898 9.000
Er 2.750 2.695 1.188
Er 2.732 2.695 6.470
Er 4.488 0.898 3.756
Er 4.470 0.898 9.038
Er 9.837 2.695 1.227
Th 0.988 0.898 8.977
Th 6.232 2.695 1.249
```

Space group = P2_1/m
VASP energy = -61.25 eV/cell

2.
First-principles (PBE) data for an optimized crystal structure of Ho9Sc2In, as listed in the Alexandria database.

```
12
Lattice="4.850 0.000 0.000 0.000 4.850 0.000 0.000 0.000 14.765" Properties=species:S:1:pos:R:3 pbc="T T T"
Ho 0.000 0.000 0.000
Ho 0.000 0.000 4.898
Ho 0.000 0.000 9.867
Ho 0.000 2.425 2.453
Ho 0.000 2.425 7.383
Ho 0.000 2.425 12.312
Ho 2.425 0.000 2.453
Ho 2.425 0.000 7.383
Ho 2.425 0.000 12.312
Sc 2.425 2.425 4.929
Sc 2.425 2.425 9.836
In 2.425 2.425 0.000
```

Space group = P4/mmm
VASP energy = -57.37 eV/cell

3.
First-principles (PBE) data for an optimized crystal structure of SmEuTlAg, as listed in the Alexandria database.

```
16
Lattice="7.677 0.000 0.000 0.000 7.677 0.000 0.000 0.000 7.677" Properties=species:S:1:pos:R:3 pbc="T T T"
Sm 0.000 0.000 0.000
Sm 0.000 3.838 3.838
Sm 3.838 0.000 3.838
Sm 3.838 3.838 0.000
Eu 0.000 0.000 3.838
Eu 0.000 3.838 0.000
Eu 3.838 0.000 0.000
Eu 3.838 3.838 3.838
Tl 1.919 1.919 5.757
Tl 1.919 5.757 1.919
Tl 5.757 1.919 1.919
Tl 5.757 5.757 5.757
Ag 1.919 1.919 1.919
Ag 1.919 5.757 5.757
Ag 5.757 1.919 5.757
Ag 5.757 5.757 1.919
```

Space group = F-43m
VASP energy = -85.98 eV/cell

In the order shown, the computed spin magnetization values come out to 0.00, 0.00, 6.96 μB per formula unit.
In the order shown, the computed ρ values come out to 8.5, 8.1, 9.0 g/cm³.
In the order shown, the computed formation energy from the elements values come out to 3, -6, -31 kJ/mol of atoms.